(1)
First-principles (GGA-PBE) data for a relaxed BaBiRuO6 crystal, as listed in the Alexandria database.

extended XYZ file:
```
9
Lattice="5.584 0.000 0.000 -2.792 4.836 0.000 0.000 0.000 5.708" Properties=species:S:1:pos:R:3 pbc="T T T"
Ba 0.000 0.000 0.000
Bi 0.000 3.224 2.854
Ru 2.792 1.612 2.854
O 2.096 0.180 3.973
O 1.204 1.725 1.735
O 3.488 0.180 1.735
O 1.900 2.931 3.973
O 4.380 1.725 3.973
O 3.684 2.931 1.735
```

Results
DFT total energy: -6.371 eV/atom
magnetization: 1.0 μB per cell
crystal system: trigonal

***

(2)
First-principles (GGA-PBE) data for a relaxed KBi3As crystal, as listed in the Alexandria database.

extended XYZ file:
```
5
Lattice="5.721 0.000 0.000 0.000 5.721 0.000 0.000 0.000 5.721" Properties=species:S:1:pos:R:3 pbc="T T T"
K 0.000 0.000 0.000
Bi 0.000 2.861 2.861
Bi 2.861 0.000 2.861
Bi 2.861 2.861 0.000
As 2.861 2.861 2.861
```

Results
energy above the lowest structure with this stoichiometry: 0.000 eV/atom
DFT total energy: -3.270 eV/atom
magnetization: 0.0 μB per cell
crystal system: cubic

***

(3)
First-principles (GGA-PBE) data for a relaxed YHgP2Au crystal, as listed in the Alexandria database.

extended XYZ file:
```
5
Lattice="4.992 0.000 0.000 0.000 4.992 0.000 0.000 0.000 5.049" Properties=species:S:1:pos:R:3 pbc="T T T"
Y 0.000 0.000 0.000
Hg 2.496 2.496 2.525
P 0.000 2.496 2.525
P 2.496 0.000 2.525
Au 2.496 2.496 0.000
```

Results
DFT total energy: -3.710 eV/atom
magnetization: 0.0 μB per cell
crystal system: tetragonal